1.
DFT (PBE) results for crystalline SrNb2Hg at its relaxed geometry.

Values from the calculation:
ΔH_f (0 K) ... 774 meV/atom
Calculated volume ... 27.93 Å³ per atom

a b c (Å): 4.540 4.540 21.676
angles (deg): 90.00 90.00 90.00
Space group I-42d (No. 122)
Unique sites:
Sr: 0.000 0.000 0.000 (multiplicity 4)
Nb: 0.101 0.250 0.625 (multiplicity 8)
Hg: 0.000 0.000 0.500 (multiplicity 4)


2.
DFT (PBE) results for crystalline Na2MgGeBi at its relaxed geometry.

Values from the calculation:
ΔH_f (0 K) ... 382 meV/atom
Calculated volume ... 38.62 Å³ per atom
Relative energy among the computed polymorphs ... 0 meV per atom

a b c (Å): 5.932 5.932 5.487
angles (deg): 90.00 90.00 90.00
Space group P4/mmm (No. 123)
Unique sites:
Na: 0.000 0.500 0.000 (multiplicity 2)
Mg: 0.000 0.000 0.500 (multiplicity 1)
Ge: 0.500 0.500 0.500 (multiplicity 1)
Bi: 0.000 0.000 0.000 (multiplicity 1)


3.
DFT (PBE) results for crystalline Ho5SbSe5 at its relaxed geometry.

Values from the calculation:
E_form (uncorrected) ... -1.70 eV/atom
Calculated volume ... 26.81 Å³ per atom

a b c (Å): 12.938 5.839 8.226
angles (deg): 90.00 108.31 90.00
Space group C2/m (No. 12)
Unique sites:
Ho: 0.000 0.000 0.000 (multiplicity 2)
Ho: 0.166 0.500 0.822 (multiplicity 4)
Ho: 0.168 0.500 0.344 (multiplicity 4)
Sb: 0.000 0.500 0.000 (multiplicity 2)
Se: 0.000 0.500 0.500 (multiplicity 2)
Se: 0.164 0.000 0.335 (multiplicity 4)
Se: 0.170 0.000 0.837 (multiplicity 4)


4.
DFT (PBE) results for crystalline CeDy2H at its relaxed geometry.

Values from the calculation:
Calculated volume ... 22.93 Å³ per atom
Relative energy among the computed polymorphs ... 158 meV per atom

a b c (Å): 3.286 3.286 8.497
angles (deg): 90.00 90.00 90.00
Space group P4/mmm (No. 123)
Unique sites:
Ce: 0.000 0.000 0.000 (multiplicity 1)
Dy: 0.500 0.500 0.310 (multiplicity 2)
H: 0.000 0.000 0.500 (multiplicity 1)